The following is a DFT calculation (PBE with a Hubbard U) of RbW2O8 after structural relaxation.

abc: 4.769 4.769 7.224
angles: 90.00 90.00 90.00
Space group P4/mmm (No. 123)
Unique sites:
Rb 0.000 0.000 0.000 [1 per cell]
W 0.000 0.500 0.500 [2 per cell]
O 0.250 0.250 0.336 [8 per cell]

Values from the calculation:
crystal system: tetragonal
total energy: -6.1621 eV/atom